A plane-wave DFT calculation with PBE-GGA was carried out for a relaxed DyY5Mg crystal.

a = 6.5437 Å, b = 6.5446 Å, c = 12.3111 Å
α = 98.19°, β = 90.00°, γ = 119.99°
Positions (direct):
Dy  0.7052  0.0000  0.2500
Dy  0.2948  0.0000  0.7500
Y  0.1702  0.4770  0.1719
Y  0.7109  0.3067  0.5553
Y  0.3067  0.4769  0.6719
Y  0.2021  0.0000  0.2500
Y  0.4042  0.6933  0.9447
Y  0.5958  0.3067  0.0553
Y  0.7979  0.0000  0.7500
Y  0.6933  0.5231  0.3281
Y  0.2891  0.6933  0.4447
Y  0.8298  0.5230  0.8281
Mg  0.0000  0.0000  0.0000
Mg  0.0000  0.0000  0.5000

Results
size of the total moment = 0.000 μB per atom
DFT total energy = -74.44 eV for the cell shown